Entry 1:
K3VS2O10: optimized geometry, GGA-PBEsol.

Lattice parameters (Å, degrees): 7.3641 7.2274 9.9961 90.00 104.06 90.00
Last column: nearest neighbours and their distance in Å.
Space group P2_1 (No. 4)
Symmetry-distinct sites (fractional):
1 K 0.0132 0.0000 0.2333 (multiplicity 2)  7 O 2.69-2.91
2 K 0.2850 0.5669 0.4494 (multiplicity 2)  7 O 2.79-2.90
3 K 0.4178 0.2635 0.0915 (multiplicity 2)  7 O 2.67-2.88
4 V 0.2480 0.9944 0.6470 (multiplicity 2)  2 O 1.63-1.64
5 S 0.0506 0.9667 0.8454 (multiplicity 2)  4 O 1.45-1.56
6 S 0.4626 0.3006 0.7547 (multiplicity 2)  4 O 1.46-1.56
7 O 0.0554 0.1350 0.7584 (multiplicity 2)  1 S 1.50
8 O 0.0766 0.9621 0.5110 (multiplicity 2)  1 V 1.63
9 O 0.1191 0.0033 0.9917 (multiplicity 2)  1 S 1.45
10 O 0.1319 0.3755 0.1917 (multiplicity 2)  1 S 1.46
11 O 0.1916 0.8406 0.7944 (multiplicity 2)  1 S 1.56
12 O 0.3240 0.2440 0.6159 (multiplicity 2)  1 S 1.56
13 O 0.3603 0.8477 0.2769 (multiplicity 2)  1 S 1.46
14 O 0.3798 0.4549 0.8142 (multiplicity 2)  1 S 1.46
15 O 0.4202 0.8630 0.6251 (multiplicity 2)  1 V 1.64
16 O 0.4691 0.1295 0.8387 (multiplicity 2)  1 S 1.49

Results
DOS(E_F) = 0.00 states/eV/f.u.
formation energy (no corrections) = -30.97 eV/f.u.


Entry 2:
MgTaPS2: optimized geometry, GGA-PBEsol.

Lattice parameters (Å, degrees): 4.4841 4.4841 4.6947 90.00 90.00 90.00
Last column: nearest neighbours and their distance in Å.
Space group P4/mmm (No. 123)
Symmetry-distinct sites (fractional):
1 Mg 0.0000 0.0000 0.0000 (multiplicity 1)  4 S 2.24, 2 P 2.35
2 Ta 0.5000 0.5000 0.5000 (multiplicity 1)  4 P 3.17, 8 S 3.25
3 P 0.0000 0.0000 0.5000 (multiplicity 1)  2 Mg 2.35
4 S 0.0000 0.5000 0.0000 (multiplicity 2)  2 Mg 2.24

Results
DOS(E_F) = 5.67 states/eV/f.u.
formation energy (no corrections) = 4.14 eV/f.u.


Entry 3:
MnCoSi2: optimized geometry, GGA-PBEsol.

Lattice parameters (Å, degrees): 5.4982 5.4982 5.4982 90.00 90.00 90.00
Last column: nearest neighbours and their distance in Å.
Space group Fm-3m (No. 225)
Symmetry-distinct sites (fractional):
1 Mn 0.0000 0.0000 0.0000 (multiplicity 4)  8 Si 2.38
2 Co 0.0000 0.0000 0.5000 (multiplicity 4)  8 Si 2.38
3 Si 0.2500 0.2500 0.2500 (multiplicity 8)  4 Mn 2.38, 4 Co 2.38

Results
DOS(E_F) = 1.07 states/eV/f.u.
excess energy over the best structure of this formula in the dataset = 55 meV/atom
formation energy (no corrections) = -2.19 eV/f.u.


Entry 4:
InMo2Cl: optimized geometry, GGA-PBEsol.

Lattice parameters (Å, degrees): 6.4067 6.4067 6.4067 90.00 90.00 90.00
Last column: nearest neighbours and their distance in Å.
Space group Fm-3m (No. 225)
Symmetry-distinct sites (fractional):
1 In 0.0000 0.0000 0.0000 (multiplicity 4)  8 Mo 2.77
2 Mo 0.2500 0.2500 0.2500 (multiplicity 8)  4 Cl 2.77, 4 In 2.77
3 Cl 0.0000 0.0000 0.5000 (multiplicity 4)  8 Mo 2.77

Results
DOS(E_F) = 5.55 states/eV/f.u.
formation energy (no corrections) = 3.64 eV/f.u.


Entry 5:
YFePd3: optimized geometry, GGA-PBEsol.

Lattice parameters (Å, degrees): 4.8492 4.8492 4.8492 90.00 90.00 90.00
Last column: nearest neighbours and their distance in Å.
Space group Pm-3m (No. 221)
Symmetry-distinct sites (fractional):
1 Y 0.0000 0.0000 0.0000 (multiplicity 1)  6 Pd 2.42
2 Fe 0.5000 0.5000 0.5000 (multiplicity 1)  12 Pd 3.43
3 Pd 0.0000 0.0000 0.5000 (multiplicity 3)  2 Y 2.42

Results
DOS(E_F) = 7.25 states/eV/f.u.
calculated formation energy = 1153 meV per atom


Entry 6:
Lu2AlZn: optimized geometry, GGA-PBEsol.

Lattice parameters (Å, degrees): 6.9205 6.9205 6.9205 90.00 90.00 90.00
Last column: nearest neighbours and their distance in Å.
Space group Fm-3m (No. 225)
Symmetry-distinct sites (fractional):
1 Lu 0.2500 0.2500 0.2500 (multiplicity 8)  4 Al 3.00, 4 Zn 3.00
2 Al 0.0000 0.0000 0.0000 (multiplicity 4)  8 Lu 3.00
3 Zn 0.0000 0.0000 0.5000 (multiplicity 4)  8 Lu 3.00

Results
DOS(E_F) = 2.41 states/eV/f.u.
calculated formation energy = -373 meV per atom


Entry 7:
Rb3AlTe: optimized geometry, GGA-PBEsol.

Lattice parameters (Å, degrees): 6.8550 6.8550 6.8550 90.00 90.00 90.00
Last column: nearest neighbours and their distance in Å.
Space group Pm-3m (No. 221)
Symmetry-distinct sites (fractional):
1 Rb 0.0000 0.0000 0.5000 (multiplicity 3)  2 Te 3.43
2 Al 0.5000 0.5000 0.5000 (multiplicity 1)  12 Rb 4.85
3 Te 0.0000 0.0000 0.0000 (multiplicity 1)  6 Rb 3.43

Results
DOS(E_F) = 4.50 states/eV/f.u.
formation energy (no corrections) = -0.04 eV/f.u.


Entry 8:
CrCo2Mo: optimized geometry, GGA-PBEsol.

Lattice parameters (Å, degrees): 3.5705 3.5705 3.5886 90.00 90.00 90.00
Last column: nearest neighbours and their distance in Å.
Space group P4/mmm (No. 123)
Symmetry-distinct sites (fractional):
1 Cr 0.0000 0.0000 0.0000 (multiplicity 1)  4 Mo 2.52, 8 Co 2.53
2 Co 0.0000 0.5000 0.5000 (multiplicity 2)  4 Co 2.52, 4 Cr 2.53, 4 Mo 2.53
3 Mo 0.5000 0.5000 0.0000 (multiplicity 1)  4 Cr 2.52, 8 Co 2.53

Results
DOS(E_F) = 2.46 states/eV/f.u.
excess energy over the best structure of this formula in the dataset = 0 meV/atom
calculated formation energy = 9 meV per atom


Entry 9:
KFe3Mo: optimized geometry, GGA-PBEsol.

Lattice parameters (Å, degrees): 4.5741 4.5741 4.5741 90.00 90.00 90.00
Last column: nearest neighbours and their distance in Å.
Space group Pm-3m (No. 221)
Symmetry-distinct sites (fractional):
1 K 0.0000 0.0000 0.0000 (multiplicity 1)  12 Fe 3.23
2 Fe 0.0000 0.5000 0.5000 (multiplicity 3)  2 Mo 2.29
3 Mo 0.5000 0.5000 0.5000 (multiplicity 1)  6 Fe 2.29

Results
DOS(E_F) = 7.12 states/eV/f.u.
calculated formation energy = 1526 meV per atom


Entry 10:
Ba2BeFe: optimized geometry, GGA-PBEsol.

Lattice parameters (Å, degrees): 4.2510 4.7811 11.1793 90.00 90.00 90.00
Last column: nearest neighbours and their distance in Å.
Space group Amm2 (No. 38)
Symmetry-distinct sites (fractional):
1 Ba 0.0000 0.0000 0.0000 (multiplicity 2)  3 Be 3.16-3.53, 4 Fe 3.49
2 Ba 0.5000 0.0000 0.2906 (multiplicity 2)  2 Fe 3.03
3 Be 0.0000 0.0000 0.6843 (multiplicity 2)  2 Fe 2.23
4 Fe 0.5000 0.0000 0.6248 (multiplicity 2)  2 Be 2.23

Results
DOS(E_F) = 4.69 states/eV/f.u.
calculated formation energy = 536 meV per atom


Entry 11:
HfMgAgBr2: optimized geometry, GGA-PBEsol.

Lattice parameters (Å, degrees): 5.1715 5.1715 5.4342 90.00 90.00 90.00
Last column: nearest neighbours and their distance in Å.
Space group P4/mmm (No. 123)
Symmetry-distinct sites (fractional):
1 Hf 0.0000 0.0000 0.0000 (multiplicity 1)  2 Ag 2.72
2 Mg 0.5000 0.5000 0.0000 (multiplicity 1)  4 Hf 3.66, 8 Br 3.75
3 Ag 0.0000 0.0000 0.5000 (multiplicity 1)  4 Br 2.59, 2 Hf 2.72
4 Br 0.0000 0.5000 0.5000 (multiplicity 2)  2 Ag 2.59

Results
DOS(E_F) = 4.11 states/eV/f.u.
formation energy (no corrections) = 2.92 eV/f.u.


Entry 12:
Cs2TiSi6O15: optimized geometry, GGA-PBEsol.

Lattice parameters (Å, degrees): 13.0061 7.5018 15.2707 90.00 105.55 90.00
Last column: nearest neighbours and their distance in Å.
Space group Cc (No. 9)
Symmetry-distinct sites (fractional):
1 Cs 0.0000 0.1250 0.0000 (multiplicity 4)  6 O 3.00-3.20
2 Cs 0.4794 0.1340 0.1722 (multiplicity 4)  8 O 3.10-3.35
3 Ti 0.2188 0.2400 0.5773 (multiplicity 4)  6 O 1.92-1.99
4 Si 0.0052 0.3892 0.4260 (multiplicity 4)  4 O 1.60-1.65
5 Si 0.1747 0.0526 0.2361 (multiplicity 4)  4 O 1.60-1.64
6 Si 0.2099 0.4709 0.9147 (multiplicity 4)  4 O 1.60-1.66
7 Si 0.2607 0.4299 0.2273 (multiplicity 4)  4 O 1.60-1.66
8 Si 0.2789 0.0691 0.9412 (multiplicity 4)  4 O 1.60-1.65
9 Si 0.4405 0.3305 0.7376 (multiplicity 4)  4 O 1.60-1.65
10 O 0.0552 0.1402 0.2160 (multiplicity 4)  2 Si 1.63-1.64
11 O 0.0675 0.2587 0.5056 (multiplicity 4)  1 Si 1.60
12 O 0.0819 0.4450 0.9098 (multiplicity 4)  2 Si 1.65-1.66
13 O 0.1688 0.1103 0.6675 (multiplicity 4)  1 Si 1.60
14 O 0.1996 0.4708 0.6351 (multiplicity 4)  1 Si 1.60
15 O 0.2070 0.0108 0.8414 (multiplicity 4)  2 Si 1.62
16 O 0.2106 0.4931 0.3094 (multiplicity 4)  2 Si 1.63
17 O 0.2372 0.0173 0.5211 (multiplicity 4)  1 Si 1.60
18 O 0.2551 0.2115 0.2208 (multiplicity 4)  2 Si 1.64
19 O 0.2614 0.3678 0.4806 (multiplicity 4)  1 Si 1.60
20 O 0.2749 0.2869 0.9488 (multiplicity 4)  2 Si 1.63-1.64
21 O 0.3652 0.2317 0.6508 (multiplicity 4)  1 Si 1.60
22 O 0.3905 0.4749 0.2556 (multiplicity 4)  2 Si 1.65-1.66
23 O 0.4045 0.0142 0.9529 (multiplicity 4)  2 Si 1.64-1.65
24 O 0.4572 0.2115 0.8292 (multiplicity 4)  2 Si 1.62-1.63

Results
DOS(E_F) = 0.00 states/eV/f.u.
excess energy over the best structure of this formula in the dataset = 0 meV/atom
formation energy (no corrections) = -66.86 eV/f.u.


no.,total moment (μB per atom)
1,0.00
2,0.18
3,0.00
4,0.25
5,0.65
6,0.00
7,0.40
8,0.00
9,1.08
10,0.31
11,0.20
12,0.00